Record 1
Ac15Nd4Mg after structural relaxation, computed with PBE.

```
Ac15Nd4Mg
1.0
-2.138 -4.317 2.690
3.049 -3.423 -3.071
20.352 1.483 18.555
Ac Nd Mg
15 4 1
direct
0.500 0.500 0.000 Ac
0.500 0.500 0.198 Ac
0.500 0.500 0.399 Ac
0.500 0.500 0.601 Ac
0.500 0.500 0.802 Ac
0.500 0.000 0.098 Ac
0.500 0.000 0.299 Ac
0.500 0.000 0.500 Ac
0.500 0.000 0.701 Ac
0.500 0.000 0.902 Ac
0.000 0.500 0.098 Ac
0.000 0.500 0.299 Ac
0.000 0.500 0.500 Ac
0.000 0.500 0.701 Ac
0.000 0.500 0.902 Ac
0.000 0.000 0.198 Nd
0.000 0.000 0.400 Nd
0.000 0.000 0.600 Nd
0.000 0.000 0.802 Nd
0.000 0.000 0.000 Mg
```

Values from the calculation:
- formation energy from the elements (eV/f.u.) = 0.40
- symmetry = P4/mmm
- magnetic moment (μB/f.u.) = 0.000

Record 2
AcNd2Mg after structural relaxation, computed with PBE.

```
AcNd2Mg
1.0
-0.975 1.863 4.825
-4.584 -2.282 -0.045
2.076 -4.211 2.045
Ac Nd Mg
1 2 1
direct
0.500 0.500 0.500 Ac
0.000 0.000 0.500 Nd
0.000 0.500 0.000 Nd
0.500 0.000 0.000 Mg
```

Values from the calculation:
- formation energy from the elements (eV/f.u.) = 0.08
- ΔE to the lowest computed polymorph (meV per atom) = 60
- symmetry = P4/mmm
- magnetic moment (μB/f.u.) = 0.002

These records have density values of 7.922 6.494 Mg/m³, in the order they appear.